Below is a PBEsol-optimized structure of BaBeW2, with properties calculated at the meta-GGA SCAN level.

Summary:
energy	-44.829	eV/atom
SG	No. 35
formation enthalpy at 0 K	0.991	eV per atom

a b c (Å): 2.8859 2.8859 9.2469
angles (deg): 90.00 90.00 106.73
Sites, in units of the cell vectors:
Be: 0.5000 0.5000 0.1980
Ba: 0.0000 0.0000 0.4836
W: 0.0000 0.0000 0.0189
W: 0.5000 0.5000 0.7995


Below is a PBEsol-optimized structure of BaMnMo, with properties calculated at the meta-GGA SCAN level.

Summary:
energy	-28.966	eV/atom
SG	No. 216
formation enthalpy at 0 K	1.931	eV per atom

a b c (Å): 4.7610 4.7610 4.7610
angles (deg): 60.00 60.00 60.00
Sites, in units of the cell vectors:
Ba: 0.7500 0.7500 0.7500
Mn: 0.0000 0.0000 0.0000
Mo: 0.5000 0.5000 0.5000


Below is a PBEsol-optimized structure of KBaN3, with properties calculated at the meta-GGA SCAN level.

Summary:
energy	-13.690	eV/atom
SG	No. 221
formation energy without anion corrections	7.30	eV/f.u.

a b c (Å): 4.7687 4.7687 4.7687
angles (deg): 90.00 90.00 90.00
Sites, in units of the cell vectors:
K: 0.0000 0.0000 0.0000
Ba: 0.5000 0.5000 0.5000
N: 0.0000 0.5000 0.0000
N: 0.0000 0.0000 0.5000
N: 0.5000 0.0000 0.0000


Below is a PBEsol-optimized structure of MnFe3I, with properties calculated at the meta-GGA SCAN level.

Summary:
energy	-20.547	eV/atom
SG	No. 221
formation energy without anion corrections	6.65	eV/f.u.

a b c (Å): 4.2791 4.2791 4.2791
angles (deg): 90.00 90.00 90.00
Sites, in units of the cell vectors:
I: 0.5000 0.5000 0.5000
Mn: 0.0000 0.0000 0.0000
Fe: 0.0000 0.5000 0.0000
Fe: 0.0000 0.0000 0.5000
Fe: 0.5000 0.0000 0.0000